1.
# Ti4Te5As

A relaxed structure of Ti4Te5As (PBE, the Alexandria database).

Unit cell a=8.6749 b=8.6749 c=7.8302 alpha=101.77 beta=101.77 gamma=24.87
Last column: nearest neighbours and their distance in Å.
Element x y z (fractional)
Ti (0.0014, 0.0014, 0.2784)  2 As 2.55, 2 Te 2.76-2.84
Ti (0.3491, 0.3491, 0.4279)  1 As 2.50, 4 Te 2.76-2.79
Ti (0.6509, 0.6509, 0.5721)  1 As 2.50, 4 Te 2.76-2.79
Ti (0.9986, 0.9986, 0.7216)  2 As 2.55, 2 Te 2.76-2.84
Te (0.1642, 0.1642, 0.8365)  3 Ti 2.76
Te (0.1719, 0.1719, 0.3211)  4 Ti 2.79-2.94
Te (0.5000, 0.5000, 0.0000)  4 Ti 2.87
Te (0.8281, 0.8281, 0.6789)  4 Ti 2.79-2.94
Te (0.8358, 0.8358, 0.1635)  3 Ti 2.76
As (0.5000, 0.5000, 0.5000)  6 Ti 2.50-2.55

E_form (uncorrected) = -0.709 eV/atom
theoretical density = 6.2 g/cm3
E = -5.903 eV per atom
space-group type = C2/m, No. 12

=====

2.
# TiTeAs2

A relaxed structure of TiTeAs2 (PBE, the Alexandria database).

Unit cell a=7.6587 b=7.6587 c=7.6587 alpha=133.31 beta=133.31 gamma=68.17
Last column: nearest neighbours and their distance in Å.
Element x y z (fractional)
Ti (0.0000, 0.0000, 0.0000)  4 As 2.49
Ti (0.7500, 0.2500, 0.5000)  4 As 2.49
Te (0.2500, 0.7500, 0.5000)  4 As 2.87
Te (0.5000, 0.5000, 0.0000)  4 As 2.87
As (0.0696, 0.6250, 0.9446)  2 Ti 2.49
As (0.3750, 0.3196, 0.4446)  2 Ti 2.49
As (0.6804, 0.1250, 0.0554)  2 Ti 2.49
As (0.8750, 0.9304, 0.5554)  2 Ti 2.49

E_form (uncorrected) = 0.141 eV/atom
theoretical density = 4.6 g/cm3
E = -4.943 eV per atom
space-group type = I-42d, No. 122

=====

3.
# Ti7Te12As

A relaxed structure of Ti7Te12As (PBE, the Alexandria database).

Unit cell a=8.6522 b=8.6522 c=8.6522 alpha=107.71 beta=107.71 gamma=107.71
Last column: nearest neighbours and their distance in Å.
Element x y z (fractional)
Ti (0.0000, 0.0000, 0.0000)  6 Te 2.77
Ti (0.1743, 0.4686, 0.3916)  1 As 2.58, 5 Te 2.75-2.83
Ti (0.3916, 0.1743, 0.4686)  1 As 2.58, 5 Te 2.75-2.83
Ti (0.4686, 0.3916, 0.1743)  1 As 2.58, 5 Te 2.75-2.83
Ti (0.5314, 0.6084, 0.8257)  1 As 2.58, 5 Te 2.75-2.83
Ti (0.6084, 0.8257, 0.5314)  1 As 2.58, 5 Te 2.75-2.83
Ti (0.8257, 0.5314, 0.6084)  1 As 2.58, 5 Te 2.75-2.83
Te (0.0314, 0.1162, 0.3484)  3 Ti 2.77-2.79
Te (0.1162, 0.3484, 0.0314)  3 Ti 2.77-2.79
Te (0.1883, 0.5822, 0.7323)  3 Ti 2.75-2.83
Te (0.2677, 0.8117, 0.4178)  3 Ti 2.75-2.83
Te (0.3484, 0.0314, 0.1162)  3 Ti 2.77-2.79
Te (0.4178, 0.2677, 0.8117)  3 Ti 2.75-2.83
Te (0.5822, 0.7323, 0.1883)  3 Ti 2.75-2.83
Te (0.6516, 0.9686, 0.8838)  3 Ti 2.77-2.79
Te (0.7323, 0.1883, 0.5822)  3 Ti 2.75-2.83
Te (0.8117, 0.4178, 0.2677)  3 Ti 2.75-2.83
Te (0.8838, 0.6516, 0.9686)  3 Ti 2.77-2.79
Te (0.9686, 0.8838, 0.6516)  3 Ti 2.77-2.79
As (0.5000, 0.5000, 0.5000)  6 Ti 2.58

E_form (uncorrected) = -0.608 eV/atom
theoretical density = 6.1 g/cm3
E = -5.489 eV per atom
space-group type = R-3, No. 148

=====

4.
# TiTe6As2

A relaxed structure of TiTe6As2 (PBE, the Alexandria database).

Unit cell a=7.5438 b=7.5438 c=9.6593 alpha=101.15 beta=101.15 gamma=28.78
Last column: nearest neighbours and their distance in Å.
Element x y z (fractional)
Ti (0.0000, 0.0000, 0.0000)  6 Te 2.76-2.82
Te (0.0138, 0.0138, 0.2956)  1 Ti 2.82, 2 As 2.87
Te (0.3160, 0.3160, 0.3584)  3 As 2.84-2.87
Te (0.3586, 0.3586, 0.9706)  2 Ti 2.76, 1 As 2.98
Te (0.6414, 0.6414, 0.0294)  2 Ti 2.76, 1 As 2.98
Te (0.6840, 0.6840, 0.6416)  3 As 2.84-2.87
Te (0.9862, 0.9862, 0.7044)  1 Ti 2.82, 2 As 2.87
As (0.3341, 0.3341, 0.6570)  6 Te 2.84-2.98
As (0.6659, 0.6659, 0.3430)  6 Te 2.84-2.98

E_form (uncorrected) = -0.175 eV/atom
theoretical density = 6.2 g/cm3
E = -4.180 eV per atom
space-group type = C2/m, No. 12

=====

5.
# TiVTe2As

A relaxed structure of TiVTe2As (PBE, the Alexandria database).

Unit cell a=5.3900 b=5.3900 c=4.4807 alpha=90.00 beta=90.00 gamma=90.00
Last column: nearest neighbours and their distance in Å.
Element x y z (fractional)
Ti (0.0000, 0.0000, 0.0000)  8 Te 3.50, 4 V 3.81
V (0.5000, 0.5000, 0.0000)  2 As 2.24
Te (0.0000, 0.5000, 0.5000)  2 As 2.69
Te (0.5000, 0.0000, 0.5000)  2 As 2.69
As (0.5000, 0.5000, 0.5000)  2 V 2.24

E_form (uncorrected) = 0.894 eV/atom
theoretical density = 5.5 g/cm3
E = -4.695 eV per atom
space-group type = P4/mmm, No. 123

=====

6.
# TiTe2AsW

A relaxed structure of TiTe2AsW (PBE, the Alexandria database).

Unit cell a=5.1934 b=5.1934 c=4.9238 alpha=90.00 beta=90.00 gamma=90.00
Last column: nearest neighbours and their distance in Å.
Element x y z (fractional)
Ti (0.0000, 0.0000, 0.0000)  2 W 2.46
Te (0.0000, 0.5000, 0.5000)  2 W 2.60
Te (0.5000, 0.0000, 0.5000)  2 W 2.60
As (0.5000, 0.5000, 0.0000)  8 Te 3.58, 4 Ti 3.67
W (0.0000, 0.0000, 0.5000)  2 Ti 2.46, 4 Te 2.60

E_form (uncorrected) = 0.900 eV/atom
theoretical density = 7.0 g/cm3
E = -5.456 eV per atom
space-group type = P4/mmm, No. 123

=====

7.
# Tl3Te4As2

A relaxed structure of Tl3Te4As2 (PBE, the Alexandria database).

Unit cell a=9.1182 b=9.1182 c=9.4562 alpha=96.24 beta=96.24 gamma=61.22
Last column: nearest neighbours and their distance in Å.
Element x y z (fractional)
Tl (0.0014, 0.9986, 0.7500)  6 Te 3.45-3.64
Tl (0.2507, 0.4894, 0.1503)  6 Te 3.41-3.79, 1 As 3.71
Tl (0.4894, 0.2507, 0.6503)  6 Te 3.41-3.79, 1 As 3.71
Tl (0.5106, 0.7493, 0.3497)  6 Te 3.41-3.79, 1 As 3.71
Tl (0.7493, 0.5106, 0.8497)  6 Te 3.41-3.79, 1 As 3.71
Tl (0.9986, 0.0014, 0.2500)  6 Te 3.45-3.64
Te (0.1812, 0.2607, 0.8313)  2 As 2.71-2.92
Te (0.2192, 0.6781, 0.5029)  1 As 2.58
Te (0.2607, 0.1812, 0.3313)  2 As 2.71-2.92
Te (0.3219, 0.7808, 0.9971)  1 As 2.58
Te (0.6781, 0.2192, 0.0029)  1 As 2.58
Te (0.7393, 0.8188, 0.6687)  2 As 2.71-2.92
Te (0.7808, 0.3219, 0.4971)  1 As 2.58
Te (0.8188, 0.7393, 0.1687)  2 As 2.71-2.92
As (0.0496, 0.3528, 0.5404)  1 As 2.56, 2 Te 2.58-2.71
As (0.3528, 0.0496, 0.0404)  1 As 2.56, 2 Te 2.58-2.71
As (0.6472, 0.9504, 0.9596)  1 As 2.56, 2 Te 2.58-2.71
As (0.9504, 0.6472, 0.4596)  1 As 2.56, 2 Te 2.58-2.71

E_form (uncorrected) = -0.117 eV/atom
theoretical density = 6.2 g/cm3
E = -3.335 eV per atom
space-group type = C2/c, No. 15
energy relative to the lowest polymorph listed for this composition = 0 meV/atom

=====

8.
# TlTe3As

A relaxed structure of TlTe3As (PBE, the Alexandria database).

Unit cell a=5.6856 b=5.6856 c=5.6856 alpha=90.00 beta=90.00 gamma=90.00
Last column: nearest neighbours and their distance in Å.
Element x y z (fractional)
Tl (0.0000, 0.0000, 0.0000)  6 Te 2.84
Te (0.0000, 0.0000, 0.5000)  2 Tl 2.84
Te (0.0000, 0.5000, 0.0000)  2 Tl 2.84
Te (0.5000, 0.0000, 0.0000)  2 Tl 2.84
As (0.5000, 0.5000, 0.5000)  12 Te 4.02

E_form (uncorrected) = 0.989 eV/atom
theoretical density = 6.0 g/cm3
E = -2.300 eV per atom
space-group type = Pm-3m, No. 221
energy relative to the lowest polymorph listed for this composition = 914 meV/atom

=====

9.
# TlTe3As

A relaxed structure of TlTe3As (PBE, the Alexandria database).

Unit cell a=5.5387 b=5.5387 c=5.5387 alpha=90.00 beta=90.00 gamma=90.00
Last column: nearest neighbours and their distance in Å.
Element x y z (fractional)
Tl (0.0000, 0.0000, 0.0000)  12 Te 3.92
Te (0.0000, 0.5000, 0.5000)  2 As 2.77
Te (0.5000, 0.0000, 0.5000)  2 As 2.77
Te (0.5000, 0.5000, 0.0000)  2 As 2.77
As (0.5000, 0.5000, 0.5000)  6 Te 2.77

E_form (uncorrected) = 0.187 eV/atom
theoretical density = 6.5 g/cm3
E = -3.101 eV per atom
space-group type = Pm-3m, No. 221
energy relative to the lowest polymorph listed for this composition = 112 meV/atom

=====

10.
# TlTe4As2

A relaxed structure of TlTe4As2 (PBE, the Alexandria database).

Unit cell a=8.4988 b=8.4988 c=9.0664 alpha=121.67 beta=121.67 gamma=78.26
Last column: nearest neighbours and their distance in Å.
Element x y z (fractional)
Tl (0.0000, 0.0000, 0.0000)  4 Te 3.05-3.41
Tl (0.7525, 0.2475, 0.5000)  6 Te 3.13-3.38
Te (0.0087, 0.9419, 0.6425)  2 As 2.94-3.07, 1 Tl 3.05, 1 Te 3.06
Te (0.0581, 0.9913, 0.3575)  2 As 2.94-3.07, 1 Tl 3.05, 1 Te 3.06
Te (0.1019, 0.5380, 0.8419)  2 As 2.83-2.96, 1 Tl 3.13
Te (0.1204, 0.4674, 0.2803)  2 As 2.75-2.93
Te (0.4620, 0.8981, 0.1581)  2 As 2.83-2.96, 1 Tl 3.13
Te (0.5326, 0.8796, 0.7197)  2 As 2.75-2.93
Te (0.5542, 0.4166, 0.7753)  3 As 2.72-2.92
Te (0.5834, 0.4458, 0.2247)  3 As 2.72-2.92
As (0.3008, 0.6946, 0.7175)  5 Te 2.75-2.96
As (0.3054, 0.6992, 0.2825)  5 Te 2.75-2.96
As (0.3373, 0.2482, 0.8012)  3 Te 2.72-2.86
As (0.7518, 0.6627, 0.1988)  3 Te 2.72-2.86

E_form (uncorrected) = 0.007 eV/atom
theoretical density = 6.1 g/cm3
E = -3.455 eV per atom
space-group type = C2, No. 5

=====

11.
# Tl5Te4As

A relaxed structure of Tl5Te4As (PBE, the Alexandria database).

Unit cell a=10.0225 b=10.0225 c=8.6586 alpha=111.72 beta=111.72 gamma=26.03
Last column: nearest neighbours and their distance in Å.
Element x y z (fractional)
Tl (0.0000, 0.0000, 0.0000)  4 Te 3.37
Tl (0.2984, 0.2984, 0.1774)  3 Te 3.19-3.22
Tl (0.3464, 0.3464, 0.7262)  4 Te 3.20-3.50
Tl (0.6536, 0.6536, 0.2738)  4 Te 3.20-3.50
Tl (0.7016, 0.7016, 0.8226)  3 Te 3.19-3.22
Te (0.1549, 0.1549, 0.5363)  1 As 2.92, 4 Tl 3.20-3.22
Te (0.4720, 0.4720, 0.2592)  2 As 2.98, 1 Tl 3.19
Te (0.5280, 0.5280, 0.7408)  2 As 2.98, 1 Tl 3.19
Te (0.8451, 0.8451, 0.4637)  1 As 2.92, 4 Tl 3.20-3.22
As (0.0000, 0.0000, 0.5000)  6 Te 2.92-2.98

E_form (uncorrected) = -0.187 eV/atom
theoretical density = 7.6 g/cm3
E = -3.091 eV per atom
space-group type = C2/m, No. 12

=====

12.
# Tl2Te2As

A relaxed structure of Tl2Te2As (PBE, the Alexandria database).

Unit cell a=7.9924 b=7.9924 c=5.0831 alpha=90.00 beta=90.00 gamma=90.00
Last column: nearest neighbours and their distance in Å.
Element x y z (fractional)
Tl (0.1475, 0.3525, 0.0000)  6 Te 3.24-3.62, 1 Tl 3.34
Tl (0.3525, 0.8525, 0.0000)  6 Te 3.24-3.62, 1 Tl 3.34
Tl (0.6475, 0.1475, 0.0000)  6 Te 3.24-3.62, 1 Tl 3.34
Tl (0.8525, 0.6475, 0.0000)  6 Te 3.24-3.62, 1 Tl 3.34
Te (0.1747, 0.6747, 0.5000)  2 As 2.95, 2 Tl 3.24
Te (0.3253, 0.1747, 0.5000)  2 As 2.95, 2 Tl 3.24
Te (0.6747, 0.8253, 0.5000)  2 As 2.95, 2 Tl 3.24
Te (0.8253, 0.3253, 0.5000)  2 As 2.95, 2 Tl 3.24
As (0.0000, 0.0000, 0.5000)  4 Te 2.95
As (0.5000, 0.5000, 0.5000)  4 Te 2.95

E_form (uncorrected) = 0.005 eV/atom
theoretical density = 7.6 g/cm3
E = -3.128 eV per atom
space-group type = P4/mbm, No. 127